[1]
Er6HgRu after structural relaxation. Source: Alexandria, functional PBE-GGA.

Values from the calculation:
The value obtained for the size of the total moment is 0.00 μB/f.u. The formation energy is -65.9 meV per atom. For the uncorrected energy, the calculation gives -0.172 Ha/atom.

Cell: 6.753 6.762 7.411 Å, 62.95 62.99 60.03°
Element x y z (fractional)
Er1 0.221 0.955 0.243
Er2 0.954 0.582 0.243
Er3 0.418 0.780 0.757
Er4 0.779 0.045 0.757
Er5 0.582 0.220 0.243
Er6 0.046 0.418 0.757
Ru1 0.000 0.000 0.000
Hg1 0.500 0.500 0.500

***

[2]
Er5HgRu after structural relaxation. Source: Alexandria, functional PBE-GGA.

Values from the calculation:
The value obtained for the size of the total moment is 0.00 μB/f.u. The formation energy is -191.0 meV per atom. For the uncorrected energy, the calculation gives -0.177 Ha/atom.

Cell: 5.867 5.867 11.698 Å, 77.57 77.57 76.56°
Element x y z (fractional)
Er1 0.005 0.995 0.250
Er2 0.454 0.790 0.936
Er3 0.790 0.454 0.436
Er4 0.546 0.210 0.064
Er5 0.210 0.546 0.564
Er6 0.995 0.005 0.750
Er7 0.417 0.083 0.375
Er8 0.083 0.417 0.875
Er9 0.583 0.917 0.625
Er10 0.917 0.583 0.125
Hg1 0.585 0.415 0.750
Hg2 0.415 0.585 0.250
Ru1 0.000 0.000 0.000
Ru2 0.000 0.000 0.500

***

[3]
Er7Hg2Ru2 after structural relaxation. Source: Alexandria, functional PBE-GGA.

Values from the calculation:
The value obtained for the size of the total moment is 0.00 μB/f.u. The formation energy is -280.8 meV per atom. For the uncorrected energy, the calculation gives -0.181 Ha/atom.

Cell: 6.658 7.094 6.658 Å, 90.00 107.64 90.00°
Element x y z (fractional)
Hg1 0.815 0.500 0.815
Hg2 0.185 0.500 0.185
Ru1 0.293 0.000 0.707
Ru2 0.707 0.000 0.293
Er1 0.000 0.252 0.500
Er2 0.000 0.748 0.500
Er3 0.500 0.241 0.500
Er4 0.500 0.748 0.000
Er5 0.500 0.759 0.500
Er6 0.000 0.000 0.000
Er7 0.500 0.252 0.000